Record 1
{
  "formula": "Tm3In3Ru2Rh",
  "functional": "PBE",
  "state": "optimized geometry",
  "delta_e_f_mev_per_atom": -496,
  "energy_ev_per_atom": -5.7778,
  "spacegroup": "P-62m",
  "density_g_cm3": 10.23,
  "n_ef_per_ev_cell": 9.4,
  "lattice_angstrom": [[3.8814, 0.0000, 0.0000], [0.0000, 7.4710, 0.0000], [0.0000, -3.7355, 6.4701]],
  "species": ["Tm", "Tm", "Tm", "In", "In", "In", "Ru", "Ru", "Rh"],
  "frac_coords": [[0.0000, 0.5943, 0.5943], [0.0000, 0.0000, 0.4057], [0.0000, 0.4057, 0.0000], [0.5000, 0.7390, 0.0000], [0.5000, 0.0000, 0.7390], [0.5000, 0.2610, 0.2610], [0.5000, 0.6667, 0.3333], [0.5000, 0.3333, 0.6667], [0.0000, 0.0000, 0.0000]]
}

=====

Record 2
{
  "formula": "VInRuRh",
  "functional": "PBE",
  "state": "optimized geometry",
  "delta_e_f_mev_per_atom": -187,
  "energy_ev_per_atom": -7.3078,
  "spacegroup": "F-43m",
  "density_g_cm3": 10.01,
  "n_ef_per_ev_cell": 4.8,
  "lattice_angstrom": [[-3.9022, -1.0471, -1.8097], [-0.3874, -3.6582, -2.4629], [-2.2905, -3.4659, 1.5296]],
  "species": ["Ru", "V", "Rh", "In"],
  "frac_coords": [[0.7500, 0.7500, 0.7500], [0.5000, 0.5000, 0.5000], [0.2500, 0.2500, 0.2500], [0.0000, 0.0000, 0.0000]]
}

=====

Record 3
{
  "formula": "ZnInRuRh",
  "functional": "PBE",
  "state": "optimized geometry",
  "delta_e_f_mev_per_atom": -127,
  "energy_ev_per_atom": -5.2872,
  "spacegroup": "F-43m",
  "density_g_cm3": 10.33,
  "n_ef_per_ev_cell": 6.9,
  "lattice_angstrom": [[-3.8177, 0.3051, -2.2410], [-3.4045, -2.6468, 1.0462], [-3.5998, 1.6891, 1.9694]],
  "species": ["Ru", "Zn", "Rh", "In"],
  "frac_coords": [[0.7500, 0.7500, 0.7500], [0.5000, 0.5000, 0.5000], [0.2500, 0.2500, 0.2500], [0.0000, 0.0000, 0.0000]]
}

=====

Record 4
{
  "formula": "In2Rh2S",
  "functional": "PBE",
  "state": "optimized geometry",
  "energy_ev_per_atom": -4.9955,
  "raw_formation_energy_ev_per_atom": -0.134,
  "spacegroup": "P4/mbm",
  "density_g_cm3": 8.64,
  "n_ef_per_ev_cell": 8.1,
  "lattice_angstrom": [[6.8583, 0.0000, 0.0000], [0.0000, 6.8583, 0.0000], [0.0000, 0.0000, 3.8185]],
  "species": ["S", "S", "Rh", "Rh", "Rh", "Rh", "In", "In", "In", "In"],
  "frac_coords": [[0.0000, 0.0000, 0.0000], [0.5000, 0.5000, 0.0000], [0.3493, 0.8493, 0.0000], [0.8493, 0.6507, 0.0000], [0.6507, 0.1507, 0.0000], [0.1507, 0.3493, 0.0000], [0.1553, 0.6553, 0.5000], [0.6553, 0.8447, 0.5000], [0.8447, 0.3447, 0.5000], [0.3447, 0.1553, 0.5000]]
}